Compound: BaHfCrH2
Source: the Alexandria database
Functional: PBE-GGA
Structure: optimized geometry

Cell and atoms, written as extended XYZ:
```
5
Lattice="4.051 0.000 0.000 0.000 5.068 0.000 0.000 0.000 4.051" Properties=species:S:1:pos:R:3 pbc="T T T"
H 0.000 0.000 2.025
H 2.025 0.000 0.000
Ba 0.000 2.534 0.000
Cr 0.000 0.000 0.000
Hf 2.025 2.534 2.025
```

**Total moment**: 0.00 Bohr magnetons per cell
**Electronic total energy**: -4.025 eV per atom
**Symmetry**: P4/mmm
**Mass density**: 7.4 Mg/m³